# MgCuMo, optimized geometry, DFT GGA-PBE
# Energy of formation, eV/atom: 0.32
# Theoretical density, g/cm³: 6.50
# Density of states at the Fermi level, states/eV per cell: 2.9
# Total moment, μB/atom: 0.00
data_MgCuMo
_cell_length_a 2.7907
_cell_length_b 2.7907
_cell_length_c 6.9618
_cell_angle_alpha 90.00
_cell_angle_beta 90.00
_cell_angle_gamma 120.00
_symmetry_space_group_name_H-M 'P 3 m 1'
_symmetry_Int_Tables_number 156
loop_
_symmetry_equiv_pos_as_xyz
'x,y,z'
'-y,x-y,z'
'-x+y,-x,z'
'-y,-x,z'
'-x+y,y,z'
'x,x-y,z'
loop_
_atom_site_label
_atom_site_fract_x
_atom_site_fract_y
_atom_site_fract_z
Mg1 0.0000 0.0000 0.0000
Cu1 0.3333 0.6667 0.6748
Mo1 0.6667 0.3333 0.3587